Crystalline InRe2Ru at its relaxed geometry. Source: the Alexandria database, functional PBE-GGA.

Values from the calculation:
For the formation energy, the calculation gives 0.36 eV per atom.

Structure (CIF):
```
data_InRe2Ru
_chemical_formula_sum 'In3 Re6 Ru3'
_cell_length_a 2.8373
_cell_length_b 2.8373
_cell_length_c 27.5415
_cell_angle_alpha 90.00
_cell_angle_beta 90.00
_cell_angle_gamma 120.00
_space_group_name_H-M_alt 'R -3 m'
_space_group_IT_number 166
_space_group_name_Hall '-R 3 2"'
loop_
_atom_site_label
_atom_site_type_symbol
_atom_site_fract_x
_atom_site_fract_y
_atom_site_fract_z
_atom_site_occupancy
In1 In 0.0000 0.0000 0.0000 1
Re1 Re 0.0000 0.0000 0.2437 1
Ru1 Ru 0.0000 0.0000 0.5000 1
```